No. 1
The following is a PBE calculation of crystalline ScCr2Os at its relaxed geometry, from Alexandria.

a b c (Å): 2.998 2.998 6.398
angles (deg): 90.00 90.00 90.00
Element x y z (fractional)
1 Sc 0.000 0.000 0.000
2 Cr 0.000 0.000 0.480
3 Cr 0.500 0.500 0.281
4 Os 0.500 0.500 0.712

Summary:
mass density	9.80	Mg/m³
distance to the lowest polymorph of the same formula	8	meV per atom
space-group type	P4mm
formation energy from the elements	0.053	eV/atom

=====

No. 2
The following is a PBE calculation of crystalline ScCr2Os at its relaxed geometry, from Alexandria.

a b c (Å): 4.347 4.347 4.347
angles (deg): 60.00 60.00 60.00
Element x y z (fractional)
1 Sc 0.000 0.000 0.000
2 Cr 0.500 0.500 0.500
3 Cr 0.750 0.750 0.750
4 Os 0.250 0.250 0.250

Summary:
mass density	9.70	Mg/m³
distance to the lowest polymorph of the same formula	0	meV per atom
space-group type	F-43m
formation energy from the elements	0.045	eV/atom

=====

No. 3
The following is a PBE calculation of crystalline ScCr2Os at its relaxed geometry, from Alexandria.

a b c (Å): 8.977 8.977 8.977
angles (deg): 17.69 17.69 17.69
Element x y z (fractional)
1 Sc 0.000 0.000 0.000
2 Cr 0.245 0.245 0.245
3 Cr 0.755 0.755 0.755
4 Os 0.500 0.500 0.500

Summary:
mass density	9.66	Mg/m³
distance to the lowest polymorph of the same formula	382	meV per atom
space-group type	R-3m
formation energy from the elements	0.426	eV/atom

=====

No. 4
The following is a PBE calculation of crystalline ScCr2Os at its relaxed geometry, from Alexandria.

a b c (Å): 4.291 4.291 4.291
angles (deg): 60.00 60.00 60.00
Element x y z (fractional)
1 Sc 0.000 0.000 0.000
2 Cr 0.250 0.250 0.250
3 Cr 0.750 0.750 0.750
4 Os 0.500 0.500 0.500

Summary:
mass density	10.08	Mg/m³
distance to the lowest polymorph of the same formula	24	meV per atom
space-group type	Fm-3m
formation energy from the elements	0.069	eV/atom

=====

No. 5
The following is a PBE calculation of crystalline ScCr2Os at its relaxed geometry, from Alexandria.

a b c (Å): 5.678 5.678 5.678
angles (deg): 102.99 102.99 123.39
Element x y z (fractional)
1 Sc 0.000 0.000 0.000
2 Sc 0.750 0.250 0.500
3 Cr 0.174 0.125 0.549
4 Cr 0.375 0.826 0.951
5 Cr 0.576 0.625 0.451
6 Cr 0.875 0.424 0.049
7 Os 0.250 0.750 0.500
8 Os 0.500 0.500 0.000

Summary:
mass density	8.37	Mg/m³
distance to the lowest polymorph of the same formula	532	meV per atom
space-group type	I-42d
formation energy from the elements	0.577	eV/atom

=====

No. 6
The following is a PBE calculation of crystalline ScCrOs2 at its relaxed geometry, from Alexandria.

a b c (Å): 3.019 4.318 4.564
angles (deg): 90.00 90.00 90.00
Element x y z (fractional)
1 Sc 0.000 0.000 0.000
2 Cr 0.500 0.000 0.500
3 Os 0.000 0.500 0.500
4 Os 0.500 0.500 0.000

Summary:
mass density	13.32	Mg/m³
distance to the lowest polymorph of the same formula	183	meV per atom
space-group type	Pmmm
formation energy from the elements	0.083	eV/atom

=====

No. 7
The following is a PBE calculation of crystalline ScCr2Os at its relaxed geometry, from Alexandria.

a b c (Å): 2.765 4.161 5.033
angles (deg): 90.00 100.65 90.00
Element x y z (fractional)
1 Sc 0.000 0.000 0.000
2 Cr 0.530 0.000 0.492
3 Cr 0.722 0.500 0.261
4 Os 0.272 0.500 0.729

Summary:
mass density	9.90	Mg/m³
distance to the lowest polymorph of the same formula	100	meV per atom
space-group type	Pm
formation energy from the elements	0.144	eV/atom

=====

No. 8
The following is a PBE calculation of crystalline ScCrOs2 at its relaxed geometry, from Alexandria.

a b c (Å): 5.187 5.187 5.187
angles (deg): 145.85 130.34 61.65
Element x y z (fractional)
1 Sc 0.000 0.000 0.000
2 Cr 0.253 0.753 0.500
3 Os 0.489 0.489 0.000
4 Os 0.742 0.242 0.500

Summary:
mass density	13.41	Mg/m³
distance to the lowest polymorph of the same formula	139	meV per atom
space-group type	Imm2
formation energy from the elements	0.039	eV/atom

=====

No. 9
The following is a PBE calculation of crystalline ScCrSnOs at its relaxed geometry, from Alexandria.

a b c (Å): 4.578 4.578 4.578
angles (deg): 60.00 60.00 60.00
Element x y z (fractional)
1 Sc 0.000 0.000 0.000
2 Cr 0.750 0.750 0.750
3 Sn 0.500 0.500 0.500
4 Os 0.250 0.250 0.250

Summary:
mass density	9.93	Mg/m³
space-group type	F-43m
formation energy from the elements	-0.147	eV/atom

=====

No. 10
The following is a PBE calculation of crystalline ScTiCr2Os at its relaxed geometry, from Alexandria.

a b c (Å): 4.255 4.255 4.699
angles (deg): 90.00 90.00 90.00
Element x y z (fractional)
1 Sc 0.000 0.000 0.000
2 Ti 0.000 0.000 0.500
3 Cr 0.000 0.500 0.500
4 Cr 0.500 0.000 0.500
5 Os 0.500 0.500 0.000

Summary:
mass density	7.55	Mg/m³
space-group type	P4/mmm
formation energy from the elements	1.418	eV/atom

=====

No. 11
The following is a PBE calculation of crystalline TmScCrOs at its relaxed geometry, from Alexandria.

a b c (Å): 4.725 4.725 4.725
angles (deg): 60.00 60.00 60.00
Element x y z (fractional)
1 Tm 0.000 0.000 0.000
2 Sc 0.500 0.500 0.500
3 Cr 0.750 0.750 0.750
4 Os 0.250 0.250 0.250

Summary:
mass density	10.15	Mg/m³
space-group type	F-43m
formation energy from the elements	-0.064	eV/atom

=====

No. 12
The following is a PBE calculation of crystalline YSc2CrOs at its relaxed geometry, from Alexandria.

a b c (Å): 5.016 5.016 5.383
angles (deg): 90.00 90.00 90.00
Element x y z (fractional)
1 Y 0.000 0.000 0.000
2 Sc 0.000 0.500 0.500
3 Sc 0.500 0.000 0.500
4 Cr 0.500 0.500 0.000
5 Os 0.000 0.000 0.500

Summary:
mass density	5.16	Mg/m³
space-group type	P4/mmm
formation energy from the elements	0.334	eV/atom

=====

Q: The highest formation energy from the elements belongs to which entry?
A: ScTiCr2Os